(1)
First-principles (PBE-GGA) data for a relaxed TiV2Pd5 crystal, as listed in Alexandria via LeMat-Bulk.

abc: 5.5274 11.1269 3.9288
angles: 90.00 90.00 90.00
Element x y z (fractional)
Ti 0.0000 0.0000 0.0000
Ti 0.5000 0.5000 0.0000
V 0.2232 0.3644 0.5000
V 0.2768 0.8644 0.5000
V 0.7232 0.1356 0.5000
V 0.7768 0.6356 0.5000
Pd 0.0000 0.5000 0.0000
Pd 0.0198 0.7548 0.0000
Pd 0.2292 0.1160 0.5000
Pd 0.2708 0.6160 0.5000
Pd 0.4802 0.2548 0.0000
Pd 0.5000 0.0000 0.0000
Pd 0.5198 0.7452 0.0000
Pd 0.7292 0.3840 0.5000
Pd 0.7708 0.8840 0.5000
Pd 0.9802 0.2452 0.0000

## Properties
E_form = -283.0 meV per atom
calculated volume = 15.1 Å³/atom
M_tot = 8.2 μB per cell
VASP energy = -108.7 eV for the cell shown

---

(2)
First-principles (PBE-GGA) data for a relaxed La3Hg2Ge crystal, as listed in Alexandria via LeMat-Bulk.

abc: 8.6389 8.6389 7.7340
angles: 90.00 90.00 143.35
Element x y z (fractional)
La 0.0000 0.0000 0.2447
La 0.0000 0.0000 0.7553
La 0.3251 0.6749 0.2300
La 0.3251 0.6749 0.7700
La 0.6749 0.3251 0.2300
La 0.6749 0.3251 0.7700
Hg 0.1653 0.8347 0.5000
Hg 0.5000 0.5000 0.0000
Hg 0.5000 0.5000 0.5000
Hg 0.8347 0.1653 0.5000
Ge 0.1573 0.8427 0.0000
Ge 0.8427 0.1573 0.0000

## Properties
E_form = -596.7 meV per atom
calculated volume = 28.7 Å³/atom
M_tot = 0.0 μB per cell
VASP energy = -47.2 eV for the cell shown

---

(3)
First-principles (PBE-GGA) data for a relaxed Mg3BRu crystal, as listed in Alexandria via LeMat-Bulk.

abc: 4.8909 4.8909 4.8909
angles: 90.00 90.00 90.00
Element x y z (fractional)
Mg 0.0000 0.0000 0.5000
Mg 0.0000 0.5000 0.0000
Mg 0.5000 0.0000 0.0000
B 0.5000 0.5000 0.5000
Ru 0.0000 0.0000 0.0000

## Properties
E_form = 1225.4 meV per atom
energy relative to the lowest polymorph listed for this composition = 589.6 meV/atom
calculated volume = 23.4 Å³/atom
M_tot = 0.0 μB per cell
VASP energy = -14.6 eV for the cell shown

---

(4)
First-principles (PBE-GGA) data for a relaxed K2YAlS4 crystal, as listed in Alexandria via LeMat-Bulk.

abc: 8.1035 8.1035 8.1035
angles: 121.93 118.38 89.76
Element x y z (fractional)
K 0.0000 0.0000 0.0000
K 0.5000 0.0000 0.0000
K 0.5000 0.0000 0.5000
K 0.5000 0.5000 0.5000
Y 0.0000 0.5000 0.5000
Y 0.5000 0.5000 0.0000
Al 0.0000 0.0000 0.5000
Al 0.0000 0.5000 0.0000
S 0.1897 0.7407 0.4490
S 0.2083 0.2593 0.9490
S 0.2236 0.2451 0.5215
S 0.2236 0.7022 0.9785
S 0.7764 0.2978 0.0215
S 0.7764 0.7549 0.4785
S 0.7917 0.7407 0.0510
S 0.8103 0.2593 0.5510

## Properties
uncorrected formation energy = -1393 meV/atom
calculated volume = 23.4 Å³/atom
M_tot = 0.0 μB per cell
VASP energy = -80.1 eV for the cell shown